DFT (GGA-PBE) results for SmEuSn2 after structural relaxation.

Cell lengths 4.5068, 5.0337, 5.0337 Å; angles 90.00, 90.00, 90.00 degrees
Site moments in Bohr magnetons follow the coordinates.
Fractional coordinates of all 4 atoms:
Sn1 0.0000 0.0000 0.5000  -0.02
Sn2 0.0000 0.5000 0.0000  -0.02
Sm1 0.5000 0.0000 0.0000  0.14
Eu1 0.5000 0.5000 0.5000  6.84

Its total energy is -25.56 eV/cell. The calculated formation energy comes out at -2.56 eV/f.u. The space-group type is No. 123.

DFT (GGA-PBE) results for Sc2HgMo after structural relaxation.

Cell lengths 3.0318, 3.0318, 9.0146 Å; angles 90.00, 90.00, 103.28 degrees
Fractional coordinates of all 4 atoms:
Hg1 0.5000 0.5000 0.2500
Sc1 0.0000 0.0000 0.5203
Sc2 0.0000 0.0000 0.9797
Mo1 0.5000 0.5000 0.7500

Its total energy is -23.99 eV/cell. The calculated formation energy comes out at -0.20 eV/f.u. The space-group type is No. 65.

DFT (GGA-PBE) results for IrPbO2F after structural relaxation.

Cell lengths 4.3417, 4.3417, 4.3795 Å; angles 90.00, 90.00, 90.00 degrees
Site moments in Bohr magnetons follow the coordinates.
Fractional coordinates of all 5 atoms:
Pb1 0.0000 0.0000 0.0000  -0.01
O1 0.5000 0.0000 0.0000  0.12
O2 0.0000 0.5000 0.0000  0.12
F1 0.0000 0.0000 0.5000  0.00
Ir1 0.5000 0.5000 0.5000  2.14

Its total energy is -22.66 eV/cell. The space-group type is No. 123. The value obtained for the formation energy from raw total energies is 0.3399 eV per atom.

> Number 1 is which compound?

SmEuSn2

Copy entry 1 word for word.
DFT (GGA-PBE) results for SmEuSn2 after structural relaxation.

Cell lengths 4.5068, 5.0337, 5.0337 Å; angles 90.00, 90.00, 90.00 degrees
Site moments in Bohr magnetons follow the coordinates.
Fractional coordinates of all 4 atoms:
Sn1 0.0000 0.0000 0.5000  -0.02
Sn2 0.0000 0.5000 0.0000  -0.02
Sm1 0.5000 0.0000 0.0000  0.14
Eu1 0.5000 0.5000 0.5000  6.84

Its total energy is -25.56 eV/cell. The calculated formation energy comes out at -2.56 eV/f.u. The space-group type is No. 123.